No. 1
VASP calculation (PBE-GGA) on a relaxed ZrTeIrPd2 crystal.

Structure (CIF):
```
data_ZrTeIrPd2
_chemical_formula_sum 'Zr1 Te1 Ir1 Pd2'
_cell_length_a 4.794
_cell_length_b 4.794
_cell_length_c 5.367
_cell_angle_alpha 90.00
_cell_angle_beta 90.00
_cell_angle_gamma 90.00
_space_group_name_H-M_alt 'P 4/m m m'
_space_group_IT_number 123
_space_group_name_Hall '-P 4 2'
loop_
_atom_site_label
_atom_site_fract_x
_atom_site_fract_y
_atom_site_fract_z
Zr1 0.000 0.000 0.000
Te1 0.000 0.000 0.500
Ir1 0.500 0.500 0.500
Pd1 0.000 0.500 0.000
```

Energy above the lowest structure with this stoichiometry (meV/atom): 386
Raw formation energy (eV per atom): 1.163
V (Å³/f.u.): 123



No. 2
VASP calculation (PBE-GGA) on a relaxed MgFeBr crystal.

Structure (CIF):
```
data_MgFeBr
_chemical_formula_sum 'Mg2 Fe2 Br2'
_cell_length_a 3.216
_cell_length_b 3.216
_cell_length_c 11.659
_cell_angle_alpha 90.00
_cell_angle_beta 90.00
_cell_angle_gamma 90.00
_space_group_name_H-M_alt 'I 4 m m'
_space_group_IT_number 107
_space_group_name_Hall 'I 4 -2'
loop_
_atom_site_label
_atom_site_fract_x
_atom_site_fract_y
_atom_site_fract_z
Mg1 0.000 0.000 0.000
Fe1 0.000 0.000 0.643
Br1 0.000 0.000 0.273
```

Energy above the lowest structure with this stoichiometry (meV/atom): 90
Raw formation energy (eV per atom): 0.160
V (Å³/f.u.): 60



No. 3
VASP calculation (PBE-GGA) on a relaxed CdCo2Ir crystal.

Structure (CIF):
```
data_CdCo2Ir
_chemical_formula_sum 'Cd2 Co4 Ir2'
_cell_length_a 2.838
_cell_length_b 4.593
_cell_length_c 8.896
_cell_angle_alpha 90.00
_cell_angle_beta 90.00
_cell_angle_gamma 90.00
_space_group_name_H-M_alt 'C m m 2'
_space_group_IT_number 35
loop_
_space_group_symop_operation_xyz
'x,y,z'
'-x,-y,z'
'-x,y,z'
'x,-y,z'
'x+1/2,y+1/2,z'
'-x+1/2,-y+1/2,z'
'-x+1/2,y+1/2,z'
'x+1/2,-y+1/2,z'
loop_
_atom_site_label
_atom_site_fract_x
_atom_site_fract_y
_atom_site_fract_z
Cd1 0.000 0.000 0.000
Co1 0.000 0.000 0.479
Co2 0.000 0.500 0.267
Ir1 0.000 0.500 0.716
```

ΔH_f (0 K) (meV/atom): 343
V (Å³/f.u.): 58



No. 4
VASP calculation (PBE-GGA) on a relaxed Tb5Pm6Nd crystal.

Structure (CIF):
```
data_Tb5Pm6Nd
_chemical_formula_sum 'Tb10 Pm12 Nd2'
_cell_length_a 16.160
_cell_length_b 10.221
_cell_length_c 5.114
_cell_angle_alpha 90.00
_cell_angle_beta 108.40
_cell_angle_gamma 90.00
_space_group_name_H-M_alt 'C 1 2/m 1'
_space_group_IT_number 12
loop_
_space_group_symop_operation_xyz
'x,y,z'
'-x,-y,-z'
'-x,y,-z'
'x,-y,z'
'x+1/2,y+1/2,z'
'-x+1/2,-y+1/2,-z'
'-x+1/2,y+1/2,-z'
'x+1/2,-y+1/2,z'
loop_
_atom_site_label
_atom_site_fract_x
_atom_site_fract_y
_atom_site_fract_z
Tb1 0.000 0.000 0.000
Tb2 0.167 0.000 0.667
Tb3 0.167 0.500 0.667
Pm1 0.000 0.248 0.500
Pm2 0.167 0.249 0.167
Nd1 0.000 0.500 0.000
```

Energy above the lowest structure with this stoichiometry (meV/atom): 3
ΔH_f (0 K) (meV/atom): 15
V (Å³/f.u.): 401



No. 5
VASP calculation (PBE-GGA) on a relaxed Ho2H6PdRh2 crystal.

Structure (CIF):
```
data_Ho2H6PdRh2
_chemical_formula_sum 'Ho6 H18 Pd3 Rh6'
_cell_length_a 5.0210
_cell_length_b 5.0210
_cell_length_c 15.7223
_cell_angle_alpha 90.00
_cell_angle_beta 90.00
_cell_angle_gamma 120.00
_space_group_name_H-M_alt 'R -3 m'
_space_group_IT_number 166
_space_group_name_Hall '-R 3 2"'
loop_
_atom_site_label
_atom_site_fract_x
_atom_site_fract_y
_atom_site_fract_z
Ho1 0.0000 0.0000 0.2275
H1 0.0452 0.5226 0.7617
Pd1 0.0000 0.0000 0.0000
Rh1 0.0000 0.0000 0.3995
```

E_tot (eV per atom): -4.880
V (Å³/f.u.): 114



No. 6
VASP calculation (PBE-GGA) on a relaxed LaNd3Tm7 crystal.

Structure (CIF):
```
data_LaNd3Tm7
_chemical_formula_sum 'La1 Nd3 Tm7'
_cell_length_a 7.0354
_cell_length_b 7.0354
_cell_length_c 8.6999
_cell_angle_alpha 90.00
_cell_angle_beta 90.00
_cell_angle_gamma 120.00
_space_group_name_H-M_alt 'P 3 m 1'
_space_group_IT_number 156
loop_
_space_group_symop_operation_xyz
'x,y,z'
'-y,x-y,z'
'-x+y,-x,z'
'-y,-x,z'
'-x+y,y,z'
'x,x-y,z'
loop_
_atom_site_label
_atom_site_fract_x
_atom_site_fract_y
_atom_site_fract_z
La1 0.0000 0.0000 0.0000
Nd1 0.1672 0.3343 0.3410
Tm1 0.0014 0.5007 0.9992
Tm2 0.3333 0.6667 0.6784
Tm3 0.3336 0.1668 0.6754
```

Energy above the lowest structure with this stoichiometry (meV/atom): 31
ΔH_f (0 K) (meV/atom): 188
V (Å³/f.u.): 373



No. 7
VASP calculation (PBE-GGA) on a relaxed Nb2CrFeN crystal.

Structure (CIF):
```
data_Nb2CrFeN
_chemical_formula_sum 'Nb2 Cr1 Fe1 N1'
_cell_length_a 4.712
_cell_length_b 4.712
_cell_length_c 3.487
_cell_angle_alpha 90.00
_cell_angle_beta 90.00
_cell_angle_gamma 90.00
_space_group_name_H-M_alt 'P 4/m m m'
_space_group_IT_number 123
_space_group_name_Hall '-P 4 2'
loop_
_atom_site_label
_atom_site_fract_x
_atom_site_fract_y
_atom_site_fract_z
Nb1 0.000 0.500 0.000
Cr1 0.000 0.000 0.000
Fe1 0.500 0.500 0.500
N1 0.000 0.000 0.500
```

Raw formation energy (eV per atom): 1.064
V (Å³/f.u.): 77



No. 8
VASP calculation (PBE-GGA) on a relaxed TePdPb3 crystal.

Structure (CIF):
```
data_TePdPb3
_chemical_formula_sum 'Te1 Pd1 Pb3'
_cell_length_a 5.406
_cell_length_b 5.406
_cell_length_c 5.406
_cell_angle_alpha 90.00
_cell_angle_beta 90.00
_cell_angle_gamma 90.00
_space_group_name_H-M_alt 'P m -3 m'
_space_group_IT_number 221
_space_group_name_Hall '-P 4 2 3'
loop_
_atom_site_label
_atom_site_fract_x
_atom_site_fract_y
_atom_site_fract_z
Te1 0.000 0.000 0.000
Pd1 0.500 0.500 0.500
Pb1 0.000 0.500 0.500
```

Energy above the lowest structure with this stoichiometry (meV/atom): 0
Raw formation energy (eV per atom): -0.043
V (Å³/f.u.): 158